# 1
! KCoAu2 PBE optimized geometry; values from VASP
! - Symmetry: I-42d
! - Raw total energy: -3.41 eV per atom
! - Fermi-level density of states: 1.317 states/eV/atom
&SYSTEM
  ibrav = 0, nat = 8, ntyp = 3
/
ATOMIC_SPECIES
Au 196.97 Au.upf
K 39.10 K.upf
Co 58.93 Co.upf
CELL_PARAMETERS angstrom
5.3699 0.0000 0.0000
0.0000 5.3699 0.0000
2.6850 2.6850 8.4348
ATOMIC_POSITIONS crystal
Au 0.8715 0.1250 0.2500
K 0.2500 0.7500 0.5000
Au 0.8750 0.1215 0.7500
Au 0.3750 0.1285 0.7500
Au 0.8785 0.6250 0.2500
Co 0.7500 0.2500 0.5000
K 0.5000 0.5000 0.0000
Co 0.0000 0.0000 0.0000

=====

# 2
! Ac2Cu3As4Rh PBE optimized geometry; values from VASP
! - Symmetry: P-4m2
! - Raw total energy: -5.32 eV per atom
! - Fermi-level density of states: 0.533 states/eV/atom
&SYSTEM
  ibrav = 0, nat = 10, ntyp = 4
/
ATOMIC_SPECIES
Ac 227.00 Ac.upf
Cu 63.55 Cu.upf
As 74.92 As.upf
Rh 102.91 Rh.upf
CELL_PARAMETERS angstrom
-0.3320 -1.6033 4.1453
4.0711 -1.7775 -0.3615
3.9654 8.3602 3.5512
ATOMIC_POSITIONS crystal
Ac 0.5000 0.0000 0.2546
Cu 0.0000 0.0000 0.5000
As 0.5000 0.0000 0.6283
Cu 0.0000 0.5000 0.1209
Ac 0.0000 0.5000 0.7454
As 0.0000 0.5000 0.3717
As 0.0000 0.0000 0.0000
As 0.5000 0.5000 0.0000
Rh 0.5000 0.5000 0.5000
Cu 0.5000 0.0000 0.8791

=====

# 3
! YIn2Os PBE optimized geometry; values from VASP
! - Symmetry: P2/m
! - Raw total energy: -5.72 eV per atom
! - Fermi-level density of states: 0.823 states/eV/atom
&SYSTEM
  ibrav = 0, nat = 4, ntyp = 3
/
ATOMIC_SPECIES
Y 88.91 Y.upf
In 114.82 In.upf
Os 190.23 Os.upf
CELL_PARAMETERS angstrom
-1.6141 1.1703 4.3471
-1.3463 -3.0348 0.3171
4.1733 -2.9457 2.3426
ATOMIC_POSITIONS crystal
Y 0.5000 0.7500 0.7500
In 0.0000 0.3850 0.4779
Os 0.5000 0.2500 0.2500
In 0.0000 0.1150 0.0221

=====

# 4
! FeIr2Se PBE optimized geometry; values from VASP
! - Symmetry: I-4m2
! - Energy relative to the elements, uncorrected: 0.477 eV/atom
! - Fermi-level density of states: 1.395 states/eV/atom
&SYSTEM
  ibrav = 0, nat = 4, ntyp = 3
/
ATOMIC_SPECIES
Se 78.96 Se.upf
Ir 192.22 Ir.upf
Fe 55.84 Fe.upf
CELL_PARAMETERS angstrom
-4.0921 0.3035 -2.2232
-1.7804 -4.3133 0.0775
1.6484 2.5805 3.5219
ATOMIC_POSITIONS crystal
Se 0.5000 0.5000 0.0000
Ir 0.2500 0.7500 0.5000
Ir 0.0000 0.0000 0.0000
Fe 0.7500 0.2500 0.5000

=====

# 5
! AlSbRh2 PBE optimized geometry; values from VASP
! - Symmetry: Cm
! - Energy relative to the elements, uncorrected: -0.579 eV/atom
! - Fermi-level density of states: 0.282 states/eV/atom
&SYSTEM
  ibrav = 0, nat = 4, ntyp = 3
/
ATOMIC_SPECIES
Rh 102.91 Rh.upf
Sb 121.76 Sb.upf
Al 26.98 Al.upf
CELL_PARAMETERS angstrom
-3.8451 -0.8263 2.9359
-3.1910 -3.5218 1.2254
1.8287 -1.8119 3.5546
ATOMIC_POSITIONS crystal
Rh 0.9872 0.9872 0.0800
Sb 0.4962 0.4962 0.5606
Al 0.2570 0.2570 0.1755
Rh 0.7596 0.7596 0.6840

=====

# 6
! SrZn2Mo PBE optimized geometry; values from VASP
! - Symmetry: I-4m2
! - Raw total energy: -3.13 eV per atom
! - Fermi-level density of states: 1.039 states/eV/atom
&SYSTEM
  ibrav = 0, nat = 4, ntyp = 3
/
ATOMIC_SPECIES
Zn 65.41 Zn.upf
Sr 87.62 Sr.upf
Mo 95.94 Mo.upf
CELL_PARAMETERS angstrom
-3.3100 1.5173 4.0869
2.2946 -0.0422 4.9693
1.3431 2.0600 -4.8901
ATOMIC_POSITIONS crystal
Zn 0.2500 0.7500 0.5000
Sr 0.7500 0.2500 0.5000
Mo 0.5000 0.5000 0.0000
Zn 0.0000 0.0000 0.0000

=====

# 7
! LuSnPt2 PBE optimized geometry; values from VASP
! - Symmetry: P4/mmm
! - Raw total energy: -6.03 eV per atom
! - Fermi-level density of states: 0.583 states/eV/atom
&SYSTEM
  ibrav = 0, nat = 4, ntyp = 3
/
ATOMIC_SPECIES
Sn 118.71 Sn.upf
Pt 195.08 Pt.upf
Lu 174.97 Lu.upf
CELL_PARAMETERS angstrom
-2.0659 2.5547 -1.4561
-2.8967 -2.0742 0.4706
-0.8528 2.4347 5.4817
ATOMIC_POSITIONS crystal
Sn 0.5000 0.5000 0.0000
Pt 0.0000 0.0000 0.2530
Pt 0.0000 0.0000 0.7470
Lu 0.5000 0.5000 0.5000

=====

# 8
! K3MoS PBE optimized geometry; values from VASP
! - Symmetry: Pm-3m
! - Energy relative to the elements, uncorrected: 0.409 eV/atom
! - Fermi-level density of states: 0.001 states/eV/atom
&SYSTEM
  ibrav = 0, nat = 5, ntyp = 3
/
ATOMIC_SPECIES
Mo 95.94 Mo.upf
K 39.10 K.upf
S 32.06 S.upf
CELL_PARAMETERS angstrom
6.1119 0.0000 0.0000
0.0000 6.1119 0.0000
0.0000 0.0000 6.1119
ATOMIC_POSITIONS crystal
Mo 0.5000 0.5000 0.5000
K 0.5000 0.0000 0.0000
K 0.0000 0.5000 0.0000
K 0.0000 0.0000 0.5000
S 0.0000 0.0000 0.0000